[1]
First-principles (PBE) data for crystalline HfSnO3 at its relaxed geometry, as listed in Alexandria.

The space group is R-3 (No. 148, hexagonal axes) and the conventional cell measures 5.4417, 5.4417 and 22.0018 Å, with angles of 90.00, 90.00 and 120.00 degrees. The asymmetric unit holds Hf at (0.0000, 0.0000, 0.1669), Sn at (0.0000, 0.0000, 0.3999) and O at (0.9996, 0.3478, 0.4497).

Its total energy is -250.51 eV for the cell shown. Its crystal system is trigonal.

[2]
First-principles (PBE) data for crystalline ScTePt at its relaxed geometry, as listed in Alexandria.

The space group is P3m1 (No. 156) and the conventional cell measures 4.3013, 4.3013 and 4.1644 Å, with angles of 90.00, 90.00 and 120.00 degrees. The asymmetric unit holds Sc at (0.0000, 0.0000, 0.0000), Te at (0.6667, 0.3333, 0.4552) and Pt at (0.3333, 0.6667, 0.7079).

Its total energy is -17.94 eV for the cell shown. Its crystal system is trigonal.

[3]
First-principles (PBE) data for crystalline RbCr2IrRu at its relaxed geometry, as listed in Alexandria.

The space group is P4/mmm (No. 123) and the conventional cell measures 4.335, 4.335 and 4.547 Å, with angles of 90.00, 90.00 and 90.00 degrees. The asymmetric unit holds Rb at (0.000, 0.000, 0.000), Cr at (0.000, 0.500, 0.000), Ir at (0.500, 0.500, 0.500) and Ru at (0.000, 0.000, 0.500).

Its total energy is -22.59 eV for the cell shown. Its formation energy is 3.15 eV per atom. Its crystal system is tetragonal.

[4]
First-principles (PBE) data for crystalline Pr5Rh2Au at its relaxed geometry, as listed in Alexandria.

The space group is I4/mcm (No. 140) and the conventional cell measures 7.974, 7.974 and 13.806 Å, with angles of 90.00, 90.00 and 90.00 degrees. The asymmetric unit holds Pr at (0.000, 0.000, 0.000), Pr at (0.165, 0.335, 0.138), Rh at (0.134, 0.366, 0.500) and Au at (0.000, 0.000, 0.250).

Its total energy is -185.86 eV for the cell shown. Its formation energy is -0.57 eV per atom. Its crystal system is tetragonal.

What is the formula in the third record?
RbCr2IrRu